LaCdGa, relaxed, DFT PBE-GGA; space group = Pmma; N(E_F) = 5.08 states/eV per cell; E_form = -1.47 eV/f.u.
1.0
-1.580 1.620 3.097
-4.106 0.596 -2.406
-2.622 -7.540 2.607
La Cd Ga
2 2 2
Cartesian
-3.753 0.011 -0.440
-3.139 -4.424 2.193
-2.987 -0.905 2.805
-5.485 -1.888 2.044
-4.741 -5.953 4.552
-6.351 -4.380 2.908

TlAgI2O, relaxed, DFT PBE-GGA; space group = P4/mmm; N(E_F) = 4.47 states/eV per cell; formation energy (no corrections) = 0.07 eV per atom
1.0
6.179 0.000 0.000
0.000 6.179 0.000
0.000 0.000 4.083
I Tl O Ag
2 1 1 1
Cartesian
0.000 3.089 0.000
3.089 0.000 0.000
0.000 0.000 0.000
0.000 0.000 2.042
3.089 3.089 2.042

CeDyAu, relaxed, DFT PBE-GGA; space group = P3m1; N(E_F) = 6.78 states/eV per cell; E_form = -0.87 eV/f.u.
1.0
-1.990 -2.074 -2.407
-0.620 -3.451 3.485
-3.279 3.672 -0.454
Au Ce Dy
1 1 1
Cartesian
-3.146 0.512 -0.053
-0.054 -0.057 -0.066
-2.688 -2.308 0.742

Number 1: total moment 0.0 μB/f.u.. Number 2: total moment 0.0 μB/f.u.. Number 3: total moment 0.9 μB/f.u..